Entry from the Alexandria database: a relaxed structure of AcBr3N2 (GGA-PBE).

a b c (Å): 6.089 9.255 9.327
angles (deg): 89.99 71.21 90.00
Fractional positions:
Ac1 0.000 0.750 0.000
Ac2 0.000 0.250 0.000
Br1 0.501 0.250 0.000
Br2 0.499 0.750 0.000
Br3 0.112 0.000 0.773
Br4 0.888 0.500 0.227
Br5 0.112 0.500 0.773
Br6 0.888 0.000 0.227
N1 0.694 0.750 0.614
N2 0.694 0.250 0.614
N3 0.306 0.750 0.386
N4 0.306 0.250 0.386

- density of states at the Fermi level (states/eV per cell) = 0.0
- formation energy (no corrections) (eV/atom) = 0.407
- total DFT energy (no corrections) (eV per atom) = -3.89


Entry from the Alexandria database: a relaxed structure of Ac3Br2N2 (GGA-PBE).

a b c (Å): 4.100 9.400 11.830
angles (deg): 75.42 80.02 77.40
Fractional positions:
Ac1 0.090 0.007 0.813
Ac2 0.910 0.993 0.187
Ac3 0.105 0.543 0.246
Ac4 0.895 0.457 0.754
Ac5 0.414 0.716 0.457
Ac6 0.586 0.284 0.543
Br1 0.255 0.144 0.345
Br2 0.745 0.856 0.655
Br3 0.419 0.205 0.957
Br4 0.581 0.795 0.043
N1 0.048 0.228 0.676
N2 0.952 0.772 0.324
N3 0.429 0.503 0.638
N4 0.571 0.497 0.362

- density of states at the Fermi level (states/eV per cell) = 1.5
- energy above the lowest structure with this stoichiometry (meV/atom) = 0
- formation energy (no corrections) (eV/atom) = -1.480
- total DFT energy (no corrections) (eV per atom) = -6.10


Entry from the Alexandria database: a relaxed structure of Ac4Br5N2 (GGA-PBE).

a b c (Å): 3.972 8.771 10.363
angles (deg): 115.02 101.05 90.00
Fractional positions:
Ac1 0.671 0.670 0.341
Ac2 0.000 0.702 0.000
Ac3 0.329 0.330 0.659
Ac4 0.000 0.298 0.000
Br1 0.167 0.959 0.333
Br2 0.833 0.041 0.667
Br3 0.167 0.374 0.333
Br4 0.500 0.000 0.000
Br5 0.833 0.626 0.667
N1 0.538 0.538 0.076
N2 0.462 0.462 0.924

- density of states at the Fermi level (states/eV per cell) = 4.9
- energy above the lowest structure with this stoichiometry (meV/atom) = 154
- formation energy (no corrections) (eV/atom) = -1.500
- total DFT energy (no corrections) (eV per atom) = -5.27


Entry from the Alexandria database: a relaxed structure of Ac3BrN2 (GGA-PBE).

a b c (Å): 4.024 7.484 11.062
angles (deg): 90.00 90.00 105.59
Fractional positions:
Ac1 0.618 0.236 0.061
Ac2 0.059 0.118 0.750
Ac3 0.618 0.236 0.439
Ac4 0.941 0.882 0.250
Ac5 0.382 0.764 0.939
Ac6 0.382 0.764 0.561
Br1 0.253 0.507 0.250
Br2 0.747 0.493 0.750
N1 0.000 0.000 0.000
N2 0.000 0.000 0.500
N3 0.539 0.079 0.250
N4 0.461 0.921 0.750

- density of states at the Fermi level (states/eV per cell) = 6.8
- formation energy (no corrections) (eV/atom) = -1.156
- total DFT energy (no corrections) (eV per atom) = -6.26


Q: What is the formula in the fourth record?
A: Ac3BrN2


Q: Look up the total DFT energy (no corrections) of the first one.
A: -3.89 eV per atom


Q: Among the records above, which one has the highest total DFT energy (no corrections)?
A: AcBr3N2


What did the second record say?
Entry from the Alexandria database: a relaxed structure of Ac3Br2N2 (GGA-PBE).

a b c (Å): 4.100 9.400 11.830
angles (deg): 75.42 80.02 77.40
Fractional positions:
Ac1 0.090 0.007 0.813
Ac2 0.910 0.993 0.187
Ac3 0.105 0.543 0.246
Ac4 0.895 0.457 0.754
Ac5 0.414 0.716 0.457
Ac6 0.586 0.284 0.543
Br1 0.255 0.144 0.345
Br2 0.745 0.856 0.655
Br3 0.419 0.205 0.957
Br4 0.581 0.795 0.043
N1 0.048 0.228 0.676
N2 0.952 0.772 0.324
N3 0.429 0.503 0.638
N4 0.571 0.497 0.362

- density of states at the Fermi level (states/eV per cell) = 1.5
- energy above the lowest structure with this stoichiometry (meV/atom) = 0
- formation energy (no corrections) (eV/atom) = -1.480
- total DFT energy (no corrections) (eV per atom) = -6.10